(1)
## KSbPd2Pb2 (PBE)

Data for an optimized crystal structure of KSbPd2Pb2.

abc: 5.095 5.095 7.102
angles: 90.00 90.00 90.00
Sites, in units of the cell vectors:
Pb  0.500  0.500  0.232
Pb  0.500  0.500  0.768
K  0.000  0.000  0.500
Pd  0.000  0.500  0.000
Pd  0.500  0.000  0.000
Sb  0.000  0.000  0.000

Computed properties:
As for the space group: No. 123. The formation energy without anion corrections is -0.219 eV/atom. For the magnetic moment, the calculation gives 0.00 μB per cell. As for the density of states at the Fermi level: 0.364 states/eV/atom.

(2)
## NpRuRhAu (PBE)

Data for an optimized crystal structure of NpRuRhAu.

abc: 4.625 4.625 4.625
angles: 60.00 60.00 60.00
Sites, in units of the cell vectors:
Au  0.000  0.000  0.000
Rh  0.250  0.250  0.250
Np  0.500  0.500  0.500
Ru  0.750  0.750  0.750

Computed properties:
As for the space group: No. 216. For the magnetic moment, the calculation gives 2.36 μB per cell. For the formation energy, the calculation gives -0.118 eV per atom. As for the density of states at the Fermi level: 1.714 states/eV/atom.

(3)
## Ho5Co2Pt (PBE)

Data for an optimized crystal structure of Ho5Co2Pt.

abc: 7.134 7.134 8.675
angles: 114.28 114.28 90.00
Sites, in units of the cell vectors:
Co  0.887  0.613  0.000
Co  0.613  0.113  0.000
Co  0.113  0.387  0.000
Co  0.387  0.887  0.000
Ho  0.000  0.000  0.000
Ho  0.316  0.816  0.281
Ho  0.036  0.536  0.719
Ho  0.964  0.464  0.281
Ho  0.816  0.964  0.281
Ho  0.536  0.684  0.719
Ho  0.464  0.316  0.281
Ho  0.684  0.184  0.719
Ho  0.184  0.036  0.719
Ho  0.500  0.500  0.000
Pt  0.250  0.250  0.500
Pt  0.750  0.750  0.500

Computed properties:
As for the space group: No. 140. For the magnetic moment, the calculation gives 0.00 μB per cell. For the formation energy, the calculation gives -0.508 eV per atom. As for the density of states at the Fermi level: 0.759 states/eV/atom.

(4)
## Ba2Li4SnPb3 (PBE)

Data for an optimized crystal structure of Ba2Li4SnPb3.

abc: 4.952 4.952 11.459
angles: 90.00 90.00 90.00
Sites, in units of the cell vectors:
Pb  0.500  0.000  0.882
Pb  0.000  0.000  0.500
Pb  0.000  0.500  0.118
Ba  0.000  0.500  0.752
Ba  0.500  0.000  0.248
Li  0.000  0.500  0.368
Li  0.500  0.500  0.000
Li  0.000  0.000  0.000
Li  0.500  0.000  0.632
Sn  0.500  0.500  0.500

Computed properties:
As for the space group: No. 115. For the magnetic moment, the calculation gives 0.00 μB per cell. For the formation energy, the calculation gives -0.392 eV per atom. As for the density of states at the Fermi level: 0.551 states/eV/atom.

(5)
## HoSbAu (PBE)

Data for an optimized crystal structure of HoSbAu.

abc: 4.037 4.037 5.349
angles: 112.17 112.17 90.00
Sites, in units of the cell vectors:
Ho  0.280  0.280  0.560
Sb  0.624  0.624  0.248
Au  0.946  0.946  0.892

Computed properties:
As for the space group: No. 107. The formation energy without anion corrections is -0.596 eV/atom. For the magnetic moment, the calculation gives 0.00 μB per cell. As for the density of states at the Fermi level: 0.833 states/eV/atom.

(6)
## TbSmBr3 (PBE)

Data for an optimized crystal structure of TbSmBr3.

abc: 3.966 9.229 11.438
angles: 122.34 90.00 102.41
Sites, in units of the cell vectors:
Sm  0.137  0.275  0.286
Sm  0.863  0.725  0.714
Br  0.963  0.927  0.255
Br  0.664  0.328  0.507
Br  0.037  0.073  0.745
Br  0.785  0.569  0.881
Br  0.215  0.431  0.119
Br  0.336  0.672  0.493
Tb  0.575  0.149  0.957
Tb  0.425  0.851  0.043

Computed properties:
As for the space group: No. 12. The formation energy without anion corrections is -1.512 eV/atom. For the magnetic moment, the calculation gives 0.00 μB per cell.

(7)
## Cd3In4Hg4 (PBE)

Data for an optimized crystal structure of Cd3In4Hg4.

abc: 4.501 7.016 9.663
angles: 90.00 90.00 108.71
Sites, in units of the cell vectors:
Hg  0.757  0.514  0.726
Hg  0.757  0.514  0.274
Hg  0.918  0.837  0.500
Hg  0.918  0.836  0.000
In  0.590  0.179  0.500
In  0.592  0.185  0.000
In  0.090  0.181  0.249
In  0.090  0.181  0.751
Cd  0.413  0.825  0.746
Cd  0.261  0.522  0.000
Cd  0.413  0.825  0.254

Computed properties:
As for the space group: No. 38. For the magnetic moment, the calculation gives 0.00 μB per cell. For the formation energy, the calculation gives 0.033 eV per atom. As for the density of states at the Fermi level: 0.347 states/eV/atom.

(8)
## GaBiRh2 (PBE)

Data for an optimized crystal structure of GaBiRh2.

abc: 3.165 3.165 6.884
angles: 90.00 90.00 90.00
Sites, in units of the cell vectors:
Rh  0.000  0.000  0.795
Rh  0.000  0.000  0.205
Bi  0.500  0.500  0.500
Ga  0.500  0.500  0.000

Computed properties:
As for the space group: No. 123. For the magnetic moment, the calculation gives 0.00 μB per cell. For the formation energy, the calculation gives -0.275 eV per atom. As for the density of states at the Fermi level: 0.560 states/eV/atom.